Density functional theory data (GGA-PBE) for an optimized crystal structure of Sc2SiH.

Cell lengths 5.4323, 5.3138, 9.7769 Å; angles 90.00, 117.66, 90.00 degrees
Space group P2/c (No. 13)
Asymmetric unit:
Sc (0.0155, 0.2240, 0.4161)
Sc (0.3130, 0.3582, 0.8378)
Si (0.4823, 0.1372, 0.3753)
H (0.0149, 0.3908, 0.6134)

- DFT total energy: -5.842 eV per atom
- Magnetization: 0.000 μB per atom



Density functional theory data (GGA-PBE) for an optimized crystal structure of HfMo2Ir2.

Cell lengths 7.6531, 7.6531, 2.8443 Å; angles 90.00, 90.00, 90.00 degrees
Space group P4/mbm (No. 127)
Asymmetric unit:
Hf (0.0000, 0.0000, 0.0000)
Mo (0.1710, 0.3290, 0.5000)
Ir (0.1259, 0.6259, 0.0000)

- ΔE to the lowest computed polymorph: 0.000 eV/atom
- DFT total energy: -10.098 eV per atom
- ΔH_f (0 K): -230.7 meV/atom
- Magnetization: 0.000 μB per atom



Density functional theory data (GGA-PBE) for an optimized crystal structure of Nd2NpSb2N2.

Cell lengths 4.3426, 4.3426, 16.4165 Å; angles 90.00, 90.00, 90.00 degrees
Space group I4/mmm (No. 139)
Asymmetric unit:
Nd (0.0000, 0.0000, 0.1120)
Np (0.0000, 0.0000, 0.5000)
Sb (0.0000, 0.0000, 0.3116)
N (0.0000, 0.5000, 0.0000)

- DFT total energy: -7.739 eV per atom
- Magnetization: 0.247 μB per atom
- Energy relative to the elements, uncorrected: -6.8 eV per formula unit



Density functional theory data (GGA-PBE) for an optimized crystal structure of PaCuHgO4.

Cell lengths 5.6970, 7.0214, 10.9910 Å; angles 90.00, 90.00, 90.00 degrees
Space group Imma (No. 74)
Asymmetric unit:
Pa (0.0000, 0.0000, 0.0000)
Cu (0.2500, 0.2500, 0.2500)
Hg (0.0000, 0.2500, 0.6930)
O (0.0000, 0.0624, 0.2001)
O (0.2277, 0.2500, 0.9826)

- DFT total energy: -6.643 eV per atom
- Magnetization: 0.085 μB per atom
- Energy relative to the elements, uncorrected: -12.8 eV per formula unit